# 1
PuPa3Re | GGA-PBE | relaxed

abc: 4.690 5.865 8.774
angles: 75.03 74.50 66.43
Sites, in units of the cell vectors:
1 Pa 0.141 0.090 0.627
2 Pa 0.212 0.331 0.246
3 Pa 0.788 0.669 0.754
4 Pu 0.390 0.614 0.607
5 Pa 0.466 0.234 0.835
6 Pa 0.534 0.766 0.165
7 Re 0.862 0.245 0.032
8 Re 0.138 0.755 0.968
9 Pu 0.610 0.386 0.393
10 Pa 0.859 0.910 0.373

Output
- raw total energy (eV for the cell shown) = -110.09
- space-group type = C2/m, No. 12
- V (A^3/atom) = 21.0

=====

# 2
PuPaRe4 | GGA-PBE | relaxed

abc: 5.412 5.412 5.412
angles: 60.00 60.00 60.00
Each line ends with the local moment (μB).
Sites, in units of the cell vectors:
1 Re 0.625 0.625 0.625  -0.09
2 Re 0.625 0.124 0.625  -0.09
3 Re 0.124 0.625 0.625  -0.09
4 Re 0.625 0.625 0.124  -0.09
5 Pu 0.000 0.000 0.000  4.75
6 Pa 0.250 0.250 0.250  -0.13

Output
- raw total energy (eV for the cell shown) = -74.00
- space-group type = F-43m, No. 216
- V (A^3/atom) = 18.7

=====

# 3
Pu3Pa6Re | GGA-PBE | relaxed

abc: 3.518 12.695 11.117
angles: 119.47 90.00 90.00
Sites, in units of the cell vectors:
1 Pa 0.250 0.306 0.781
2 Pu 0.250 0.509 0.148
3 Re 0.250 0.908 0.288
4 Pu 0.750 0.704 0.456
5 Pu 0.750 0.138 0.094
6 Re 0.750 0.092 0.712
7 Pu 0.750 0.491 0.852
8 Pa 0.250 0.540 0.393
9 Pu 0.250 0.296 0.544
10 Pa 0.750 0.114 0.465
11 Pa 0.250 0.664 0.939
12 Pa 0.750 0.336 0.061
13 Pa 0.250 0.249 0.285
14 Pa 0.750 0.694 0.219
15 Pa 0.750 0.751 0.715
16 Pu 0.250 0.862 0.906
17 Pa 0.750 0.460 0.607
18 Pa 0.250 0.886 0.535
19 Pa 0.250 0.057 0.890
20 Pa 0.750 0.943 0.110

Output
- raw total energy (eV for the cell shown) = -219.63
- space-group type = P2_1/m, No. 11
- V (A^3/atom) = 21.6

=====

# 4
PuPaRe2 | GGA-PBE | relaxed

abc: 3.467 4.806 4.806
angles: 90.00 90.00 90.00
Each line ends with the local moment (μB).
Sites, in units of the cell vectors:
1 Re 0.000 0.000 0.500  -0.37
2 Re 0.000 0.500 0.000  -0.37
3 Pa 0.500 0.000 0.000  0.19
4 Pu 0.500 0.500 0.500  4.56

Output
- E above lowest polymorph (eV/f.u.) = 0.064
- space-group type = P4/mmm, No. 123
- V (A^3/atom) = 20.0

=====

# 5
PuPaRe | GGA-PBE | relaxed

abc: 4.531 4.531 6.508
angles: 101.37 101.37 90.04
Each line ends with the local moment (μB).
Sites, in units of the cell vectors:
1 Pa 0.917 0.917 0.705  0.17
2 Pa 0.083 0.083 0.295  0.17
3 Pu 0.585 0.585 0.297  4.75
4 Re 0.500 0.000 0.000  -0.33
5 Re 0.000 0.500 0.000  -0.33
6 Pu 0.415 0.415 0.703  4.75

Output
- E above lowest polymorph (eV/f.u.) = 0.534
- space-group type = C2/m, No. 12
- V (A^3/atom) = 21.4

=====

# 6
PuPaRe | GGA-PBE | relaxed

abc: 7.032 7.032 4.812
angles: 121.40 121.40 46.61
Each line ends with the local moment (μB).
Sites, in units of the cell vectors:
1 Re 0.237 0.237 0.615  -0.13
2 Re 0.763 0.763 0.385  -0.13
3 Pu 0.240 0.760 0.000  5.29
4 Pa 0.333 0.333 0.252  0.27
5 Pa 0.667 0.667 0.748  0.27
6 Pu 0.760 0.240 0.000  5.29

Output
- E above lowest polymorph (eV/f.u.) = 0.992
- space-group type = C2/m, No. 12
- V (A^3/atom) = 23.7

=====

# 7
PuPaReRu | GGA-PBE | relaxed

abc: 4.830 4.830 4.830
angles: 60.00 60.00 60.00
Each line ends with the local moment (μB).
Sites, in units of the cell vectors:
1 Pa 0.500 0.500 0.500  0.28
2 Pu 0.000 0.000 0.000  4.80
3 Re 0.250 0.250 0.250  -0.42
4 Ru 0.750 0.750 0.750  -0.40

Output
- raw total energy (eV for the cell shown) = -45.77
- space-group type = F-43m, No. 216
- V (A^3/atom) = 19.9

=====

# 8
PuScPaRe | GGA-PBE | relaxed

abc: 4.883 4.883 4.883
angles: 60.00 60.00 60.00
Each line ends with the local moment (μB).
Sites, in units of the cell vectors:
1 Pa 0.500 0.500 0.500  0.80
2 Sc 0.000 0.000 0.000  0.31
3 Re 0.250 0.250 0.250  -0.36
4 Pu 0.750 0.750 0.750  5.33

Output
- raw total energy (eV for the cell shown) = -42.43
- space-group type = F-43m, No. 216
- V (A^3/atom) = 20.6

=====

# 9
TbPuPaRe | GGA-PBE | relaxed

abc: 5.047 5.047 5.047
angles: 60.00 60.00 60.00
Each line ends with the local moment (μB).
Sites, in units of the cell vectors:
1 Pu 0.500 0.500 0.500  -5.24
2 Pa 0.000 0.000 0.000  -0.25
3 Tb 0.750 0.750 0.750  -0.31
4 Re 0.250 0.250 0.250  0.34

Output
- raw total energy (eV for the cell shown) = -39.53
- space-group type = F-43m, No. 216
- V (A^3/atom) = 22.7

=====

# 10
PuPaReTc | GGA-PBE | relaxed

abc: 4.831 4.831 4.831
angles: 60.00 60.00 60.00
Each line ends with the local moment (μB).
Sites, in units of the cell vectors:
1 Pu 0.750 0.750 0.750  4.70
2 Tc 0.500 0.500 0.500  -0.39
3 Pa 0.250 0.250 0.250  0.15
4 Re 0.000 0.000 0.000  -0.36

Output
- raw total energy (eV for the cell shown) = -46.47
- space-group type = F-43m, No. 216
- V (A^3/atom) = 19.9

=====

# 11
TmPuPaRe | GGA-PBE | relaxed

abc: 4.979 4.979 4.979
angles: 60.00 60.00 60.00
Each line ends with the local moment (μB).
Sites, in units of the cell vectors:
1 Pa 0.750 0.750 0.750  0.85
2 Re 0.000 0.000 0.000  -0.37
3 Tm 0.250 0.250 0.250  0.33
4 Pu 0.500 0.500 0.500  5.41

Output
- raw total energy (eV for the cell shown) = -40.14
- space-group type = F-43m, No. 216
- V (A^3/atom) = 21.8

=====

# 12
PuUPaRe | GGA-PBE | relaxed

abc: 4.903 4.903 4.903
angles: 60.00 60.00 60.00
Each line ends with the local moment (μB).
Sites, in units of the cell vectors:
1 Pa 0.500 0.500 0.500  0.58
2 Re 0.750 0.750 0.750  -0.06
3 U 0.000 0.000 0.000  1.70
4 Pu 0.250 0.250 0.250  4.96

Output
- raw total energy (eV for the cell shown) = -46.95
- space-group type = F-43m, No. 216
- V (A^3/atom) = 20.8

=====

# 13
PuZrPaRe | GGA-PBE | relaxed

abc: 4.895 4.895 4.895
angles: 60.00 60.00 60.00
Each line ends with the local moment (μB).
Sites, in units of the cell vectors:
1 Zr 0.750 0.750 0.750  0.19
2 Re 0.000 0.000 0.000  -0.28
3 Pa 0.250 0.250 0.250  0.65
4 Pu 0.500 0.500 0.500  5.16

Output
- raw total energy (eV for the cell shown) = -44.63
- space-group type = F-43m, No. 216
- V (A^3/atom) = 20.7

=====

# 14
PuPa2Rh2 | GGA-PBE | relaxed

abc: 7.531 7.531 4.820
angles: 108.59 108.59 103.94
Each line ends with the local moment (μB).
Sites, in units of the cell vectors:
1 Rh 0.637 0.363 0.750  0.03
2 Pu 0.083 0.917 0.250  5.20
3 Pa 0.782 0.593 0.439  0.52
4 Rh 0.363 0.637 0.250  0.03
5 Pa 0.593 0.782 0.939  0.52
6 Pu 0.917 0.083 0.750  5.20
7 Rh 0.202 0.798 0.750  -0.09
8 Rh 0.798 0.202 0.250  -0.09
9 Pa 0.407 0.218 0.061  0.52
10 Pa 0.218 0.407 0.561  0.52

Output
- E above lowest polymorph (eV/f.u.) = 1.138
- space-group type = C2/c, No. 15
- V (A^3/atom) = 22.7

=====

# 15
Pu5PaRh6 | GGA-PBE | relaxed

abc: 4.788 7.036 8.379
angles: 114.86 106.66 89.88
Each line ends with the local moment (μB).
Sites, in units of the cell vectors:
1 Pu 0.689 0.189 0.377  -4.91
2 Rh 0.500 0.785 0.000  -0.10
3 Rh 0.845 0.622 0.689  0.02
4 Rh 0.500 0.215 0.000  -0.10
5 Pa 0.000 0.000 0.000  0.12
6 Pu 0.000 0.500 0.000  5.13
7 Pu 0.658 0.658 0.317  5.07
8 Rh 0.155 0.378 0.311  0.02
9 Pu 0.311 0.811 0.623  -4.91
10 Rh 0.844 0.067 0.689  0.02
11 Rh 0.156 0.933 0.311  0.02
12 Pu 0.342 0.342 0.683  5.07

Output
- E above lowest polymorph (eV/f.u.) = 0.000
- space-group type = C2/m, No. 12
- V (A^3/atom) = 20.3

=====

# 16
PuPaRh | GGA-PBE | relaxed

abc: 3.473 6.104 7.053
angles: 116.31 75.69 90.05
Each line ends with the local moment (μB).
Sites, in units of the cell vectors:
1 Pa 0.862 0.747 0.553  0.12
2 Rh 0.193 0.999 0.888  -0.07
3 Pu 0.597 0.752 0.078  4.95
4 Pa 0.265 0.381 0.743  0.12
5 Pu 0.529 0.377 0.218  4.95
6 Rh 0.933 0.129 0.408  -0.07

Output
- E above lowest polymorph (eV/f.u.) = 0.184
- space-group type = P-1, No. 2
- V (A^3/atom) = 21.5

=====

# 17
Pu2PaRh2 | GGA-PBE | relaxed

abc: 4.640 6.643 5.293
angles: 128.87 115.99 90.00
Each line ends with the local moment (μB).
Sites, in units of the cell vectors:
1 Rh 0.500 0.300 0.000  -0.11
2 Pu 0.788 0.288 0.576  5.11
3 Pa 0.000 0.000 0.000  1.02
4 Pu 0.212 0.712 0.424  5.11
5 Rh 0.500 0.700 0.000  -0.11

Output
- E above lowest polymorph (eV/f.u.) = 0.000
- space-group type = Immm, No. 71
- V (A^3/atom) = 21.0

=====

# 18
Pu2Pa2Rh3 | GGA-PBE | relaxed

abc: 3.990 7.162 5.571
angles: 80.31 92.85 97.56
Each line ends with the local moment (μB).
Sites, in units of the cell vectors:
1 Pu 0.779 0.829 0.556  5.31
2 Rh 0.242 0.539 0.680  -0.06
3 Rh 0.758 0.461 0.320  -0.06
4 Pa 0.656 0.294 0.896  0.30
5 Pu 0.221 0.171 0.444  5.31
6 Rh 0.000 0.000 0.000  -0.04
7 Pa 0.344 0.706 0.104  0.30

Output
- raw total energy (eV for the cell shown) = -73.09
- space-group type = P-1, No. 2
- V (A^3/atom) = 22.2

=====

# 19
Pu3PaRh3 | GGA-PBE | relaxed

abc: 7.836 7.836 4.854
angles: 106.37 106.37 75.33
Each line ends with the local moment (μB).
Sites, in units of the cell vectors:
1 Pu 0.710 0.290 0.500  3.76
2 Rh 0.883 0.883 0.404  -0.01
3 Pu 0.290 0.710 0.500  3.76
4 Pu 0.431 0.431 0.708  -3.90
5 Pa 0.745 0.745 0.831  -0.41
6 Rh 0.117 0.117 0.596  -0.01
7 Rh 0.505 0.078 0.783  0.07
8 Pu 0.853 0.147 0.000  -4.70
9 Pa 0.255 0.255 0.169  -0.41
10 Rh 0.922 0.495 0.217  0.07
11 Pu 0.147 0.853 0.000  -4.70
12 Pu 0.569 0.569 0.292  -3.90
13 Rh 0.495 0.922 0.217  0.07
14 Rh 0.078 0.505 0.783  0.07

Output
- raw total energy (eV for the cell shown) = -152.35
- space-group type = C2/m, No. 12
- V (A^3/atom) = 19.2

=====

# 20
Pu2PaRh4 | GGA-PBE | relaxed

abc: 4.243 4.243 8.358
angles: 104.70 104.70 90.00
Each line ends with the local moment (μB).
Sites, in units of the cell vectors:
1 Rh 0.111 0.611 0.221  -0.06
2 Rh 0.389 0.889 0.779  -0.06
3 Pu 0.734 0.734 0.469  5.12
4 Rh 0.611 0.111 0.221  -0.06
5 Pu 0.266 0.266 0.531  5.12
6 Rh 0.889 0.389 0.779  -0.06
7 Pa 0.000 0.000 0.000  0.17

Output
- raw total energy (eV for the cell shown) = -70.49
- space-group type = I4/mmm, No. 139
- V (A^3/atom) = 20.1